The following is a DFT calculation (PBE-GGA) of a relaxed structure of Ag2BiIrRu.

Calculated values
Calculated total energy in eV for the cell shown: -22.38
DFT formation energy in eV/f.u.: 5.3
Calculated volume in Å³ per cell: 120
DOS at the Fermi energy in states/eV/cell: 4.760

Lattice parameters (Å, degrees): 5.0990 4.6007 5.0990 90.00 90.00 90.00
Fractional coordinates of all 5 atoms:
Ru (0.0000, 0.5000, 0.0000)
Ir (0.0000, 0.0000, 0.0000)
Bi (0.5000, 0.5000, 0.5000)
Ag (0.0000, 0.0000, 0.5000)
Ag (0.5000, 0.0000, 0.0000)

The following is a DFT calculation (PBE-GGA) of a relaxed structure of AgSnBiIr2.

Calculated values
Calculated total energy in eV for the cell shown: -23.13
DFT formation energy in eV/f.u.: 5.3
Calculated volume in Å³ per cell: 122
DOS at the Fermi energy in states/eV/cell: 4.676

Lattice parameters (Å, degrees): 4.9360 5.0137 4.9360 90.00 90.00 90.00
Fractional coordinates of all 5 atoms:
Ir (0.0000, 0.0000, 0.5000)
Ir (0.5000, 0.0000, 0.0000)
Bi (0.5000, 0.5000, 0.5000)
Ag (0.0000, 0.5000, 0.0000)
Sn (0.0000, 0.0000, 0.0000)

The following is a DFT calculation (PBE-GGA) of a relaxed structure of V2AgBiIr.

Calculated values
Calculated total energy in eV for the cell shown: -26.68
DFT formation energy in eV/f.u.: 7.2
Calculated volume in Å³ per cell: 114
DOS at the Fermi energy in states/eV/cell: 6.294

Lattice parameters (Å, degrees): 4.8169 4.9315 4.8169 90.00 90.00 90.00
Each line ends with the local moment (μB).
Fractional coordinates of all 5 atoms:
Ir (0.0000, 0.5000, 0.0000)  -0.18
Bi (0.5000, 0.5000, 0.5000)  -0.17
Ag (0.0000, 0.0000, 0.0000)  0.09
V (0.0000, 0.0000, 0.5000)  2.35
V (0.5000, 0.0000, 0.0000)  2.47

The following is a DFT calculation (PBE-GGA) of a relaxed structure of KAgBi2.

Calculated values
Calculated total energy in eV for the cell shown: -23.46
DFT formation energy in eV/f.u.: 0.0
Calculated volume in Å³ per cell: 280
Offset from the most stable computed form in eV per atom: 0.088
DOS at the Fermi energy in states/eV/cell: 2.996

Lattice parameters (Å, degrees): 5.0948 5.0948 11.3756 77.06 77.06 90.00
Fractional coordinates of all 8 atoms:
K (0.5000, 0.5000, 0.0000)
K (0.2500, 0.7500, 0.5000)
Bi (0.6983, 0.1250, 0.2500)
Bi (0.0517, 0.6250, 0.2500)
Bi (0.3750, 0.3017, 0.7500)
Bi (0.8750, 0.9483, 0.7500)
Ag (0.0000, 0.0000, 0.0000)
Ag (0.7500, 0.2500, 0.5000)

The following is a DFT calculation (PBE-GGA) of a relaxed structure of KAg2Bi2.

Calculated values
Calculated total energy in eV for the cell shown: -29.56
DFT formation energy in eV/f.u.: -0.2
Calculated volume in Å³ per cell: 276
Offset from the most stable computed form in eV per atom: 0.079
DOS at the Fermi energy in states/eV/cell: 1.877

Lattice parameters (Å, degrees): 9.0469 9.0469 3.3718 90.00 90.00 90.00
Fractional coordinates of all 10 atoms:
K (0.0000, 0.0000, 0.0000)
K (0.5000, 0.5000, 0.0000)
Bi (0.1618, 0.6618, 0.5000)
Bi (0.6618, 0.8382, 0.5000)
Bi (0.8382, 0.3382, 0.5000)
Bi (0.3382, 0.1618, 0.5000)
Ag (0.3709, 0.8709, 0.0000)
Ag (0.8709, 0.6291, 0.0000)
Ag (0.6291, 0.1291, 0.0000)
Ag (0.1291, 0.3709, 0.0000)

The following is a DFT calculation (PBE-GGA) of a relaxed structure of KAg2Bi2.

Calculated values
Calculated total energy in eV for the cell shown: -29.39
DFT formation energy in eV/f.u.: -0.1
Calculated volume in Å³ per cell: 281
Offset from the most stable computed form in eV per atom: 0.096
DOS at the Fermi energy in states/eV/cell: 3.362

Lattice parameters (Å, degrees): 9.1977 9.1977 3.3167 90.00 90.00 90.00
Fractional coordinates of all 10 atoms:
K (0.0000, 0.0000, 0.0000)
K (0.5000, 0.5000, 0.0000)
Bi (0.3609, 0.8609, 0.0000)
Bi (0.8609, 0.6391, 0.0000)
Bi (0.6391, 0.1391, 0.0000)
Bi (0.1391, 0.3609, 0.0000)
Ag (0.1562, 0.6562, 0.5000)
Ag (0.6562, 0.8438, 0.5000)
Ag (0.8438, 0.3438, 0.5000)
Ag (0.3438, 0.1562, 0.5000)

The following is a DFT calculation (PBE-GGA) of a relaxed structure of K2AgBi.

Calculated values
Calculated total energy in eV for the cell shown: -20.55
DFT formation energy in eV/f.u.: -1.3
Calculated volume in Å³ per cell: 294

Lattice parameters (Å, degrees): 6.8456 6.8456 6.4497 90.00 90.00 103.59
Fractional coordinates of all 8 atoms:
K (0.3272, 0.9791, 0.7500)
K (0.6728, 0.0209, 0.2500)
K (0.9791, 0.3272, 0.7500)
K (0.0209, 0.6728, 0.2500)
Ag (0.5000, 0.5000, 0.0000)
Ag (0.5000, 0.5000, 0.5000)
Bi (0.7728, 0.7728, 0.7500)
Bi (0.2272, 0.2272, 0.2500)

The following is a DFT calculation (PBE-GGA) of a relaxed structure of K8AgBi2.

Calculated values
Calculated total energy in eV for the cell shown: -22.00
DFT formation energy in eV/f.u.: -2.6
Calculated volume in Å³ per cell: 510
DOS at the Fermi energy in states/eV/cell: 4.494

Lattice parameters (Å, degrees): 6.0774 8.5612 11.0745 112.17 105.93 90.00
Fractional coordinates of all 11 atoms:
K (0.3977, 0.5630, 0.7955)
K (0.6688, 0.9459, 0.3377)
K (0.7911, 0.7013, 0.5822)
K (0.9823, 0.2352, 0.9646)
K (0.2089, 0.2987, 0.4178)
K (0.3312, 0.0541, 0.6623)
K (0.6023, 0.4370, 0.2045)
K (0.0177, 0.7648, 0.0354)
Ag (0.5000, 0.0000, 0.0000)
Bi (0.8311, 0.3262, 0.6622)
Bi (0.1689, 0.6738, 0.3378)

The following is a DFT calculation (PBE-GGA) of a relaxed structure of K2AgBi.

Calculated values
Calculated total energy in eV for the cell shown: -18.48
DFT formation energy in eV/f.u.: -0.3
Calculated volume in Å³ per cell: 431
DOS at the Fermi energy in states/eV/cell: 2.578

Lattice parameters (Å, degrees): 12.6964 12.6964 9.3668 47.33 47.33 90.00
Fractional coordinates of all 8 atoms:
K (0.4374, 0.1250, 0.2500)
K (0.3126, 0.6250, 0.2500)
K (0.3750, 0.5626, 0.7500)
K (0.8750, 0.6874, 0.7500)
Bi (0.0000, 0.0000, 0.0000)
Bi (0.7500, 0.2500, 0.5000)
Ag (0.5000, 0.5000, 0.0000)
Ag (0.2500, 0.7500, 0.5000)

The following is a DFT calculation (PBE-GGA) of a relaxed structure of K5AgBi2.

Calculated values
Calculated total energy in eV for the cell shown: -18.93
DFT formation energy in eV/f.u.: -2.8
Calculated volume in Å³ per cell: 323
DOS at the Fermi energy in states/eV/cell: 2.382

Lattice parameters (Å, degrees): 6.1121 6.1121 10.5799 73.21 73.21 60.00
Fractional coordinates of all 8 atoms:
K (0.5000, 0.5000, 0.5000)
K (0.3700, 0.3700, 0.8900)
K (0.6300, 0.6300, 0.1100)
K (0.2184, 0.2184, 0.3448)
K (0.7816, 0.7816, 0.6552)
Ag (0.0000, 0.0000, 0.0000)
Bi (0.0931, 0.0931, 0.7208)
Bi (0.9069, 0.9069, 0.2792)

The following is a DFT calculation (PBE-GGA) of a relaxed structure of KAg3Bi2.

Calculated values
Calculated total energy in eV for the cell shown: -35.60
DFT formation energy in eV/f.u.: -0.4
Calculated volume in Å³ per cell: 342
DOS at the Fermi energy in states/eV/cell: 5.220

Lattice parameters (Å, degrees): 4.7117 9.2565 8.8406 112.58 90.00 104.74
Fractional coordinates of all 12 atoms:
K (0.8507, 0.7013, 0.9399)
K (0.1493, 0.2987, 0.0601)
Ag (0.3034, 0.6068, 0.5235)
Ag (0.9666, 0.9332, 0.6199)
Ag (0.5809, 0.1619, 0.6409)
Ag (0.4191, 0.8381, 0.3591)
Ag (0.0334, 0.0668, 0.3801)
Ag (0.6966, 0.3932, 0.4765)
Bi (0.4665, 0.9331, 0.8079)
Bi (0.5335, 0.0669, 0.1921)
Bi (0.8131, 0.6262, 0.3157)
Bi (0.1869, 0.3738, 0.6843)

The following is a DFT calculation (PBE-GGA) of a relaxed structure of KAg2Bi2.

Calculated values
Calculated total energy in eV for the cell shown: -15.18
DFT formation energy in eV/f.u.: -0.6
Calculated volume in Å³ per cell: 152
Offset from the most stable computed form in eV per atom: 0.000
DOS at the Fermi energy in states/eV/cell: 1.945

Lattice parameters (Å, degrees): 5.0005 5.0004 6.8011 108.09 108.09 92.55
Fractional coordinates of all 5 atoms:
K (0.0000, 0.0000, 0.0000)
Ag (0.2047, 0.7953, 0.5000)
Ag (0.7953, 0.2047, 0.5000)
Bi (0.5945, 0.5945, 0.2547)
Bi (0.4055, 0.4055, 0.7453)